Record 1
AcZnAg, relaxed, DFT PBE-GGA; crystal system = tetragonal; SG = I4mm; formation enthalpy at 0 K = -0.15 eV/atom; total magnetic moment = 0.000 μB/f.u.; excess energy over the best structure of this formula in the dataset = 169 meV per atom
1.0
-1.898 1.898 5.366
1.898 -1.898 5.366
1.898 1.898 -5.366
Ac Zn Ag
1 1 1
Cartesian
0.000 0.000 0.000 Ac
0.000 0.000 3.327 Zn
0.000 0.000 7.494 Ag

Record 2
Ac2Zn7Ag, relaxed, DFT PBE-GGA; crystal system = tetragonal; SG = P-4m2; formation enthalpy at 0 K = -0.28 eV/atom; total magnetic moment = 0.000 μB/f.u.
1.0
4.530 0.000 0.000
0.000 4.530 0.000
0.000 0.000 10.418
Ac Zn Ag
2 7 1
Cartesian
0.000 2.265 2.574 Ac
2.265 0.000 7.844 Ac
0.000 0.000 0.000 Zn
0.000 2.265 6.583 Zn
0.000 2.265 9.118 Zn
2.265 0.000 1.300 Zn
2.265 0.000 3.835 Zn
2.265 2.265 0.000 Zn
2.265 2.265 5.209 Zn
0.000 0.000 5.209 Ag